## A
Density functional theory data (PBE-GGA) for an optimized crystal structure of LaYPu.

```
LaYPu
1.0
6.4060 0.0166 0.0000
-3.0885 5.6123 0.0000
0.0000 0.0000 10.9358
Pu Y La
4 4 4
Direct
0.1559 0.8441 0.0000
0.1549 0.3527 0.0000
0.6473 0.8451 0.0000
0.8482 0.1518 0.5000
0.3542 0.1517 0.5000
0.9931 0.0069 0.2476
0.9931 0.0069 0.7524
0.8483 0.6458 0.5000
0.6616 0.3384 0.8182
0.3408 0.6593 0.2937
0.3408 0.6593 0.7063
0.6616 0.3384 0.1818
```

Values from the calculation:
Calculated volume, Å³/cell: 393.73
Density of states at the Fermi level, states/eV per cell: 41.80
Space group: Amm2, No. 38

---

## B
Density functional theory data (PBE-GGA) for an optimized crystal structure of LaYPu.

```
LaYPu
1.0
-1.1687 -0.4870 -3.3621
-2.3187 -0.1130 2.7418
-1.3301 8.5303 -0.7733
Y La Pu
1 1 1
Direct
0.6667 0.3333 0.3419
0.0000 0.0000 0.9933
0.3333 0.6667 0.6647
```

Values from the calculation:
Calculated volume, Å³/cell: 96.89
Density of states at the Fermi level, states/eV per cell: 8.40
Space group: P3m1, No. 156

---

## C
Density functional theory data (PBE-GGA) for an optimized crystal structure of LaYPu.

```
LaYPu
1.0
3.5765 0.0000 0.0000
0.0000 3.5765 0.0000
-1.7882 -1.7882 7.5360
Y Pu La
1 1 1
Direct
0.6610 0.6610 0.3221
0.0013 0.0013 0.0026
0.3377 0.3377 0.6753
```

Values from the calculation:
Calculated volume, Å³/cell: 96.39
Density of states at the Fermi level, states/eV per cell: 7.34
Space group: I4mm, No. 107

---

Relative to the most stable structure, the computed energies are A 116; B 12; C 0, all in meV per atom.

---

## A
Density functional theory data (PBE-GGA) for an optimized crystal structure of LaPuZn.

```
LaPuZn
1.0
3.6672 0.0000 0.0000
0.0000 3.6672 0.0000
-1.8336 -1.8336 6.0149
La Zn Pu
1 1 1
Direct
0.0169 0.0169 0.0337
0.6729 0.6729 0.3458
0.3103 0.3103 0.6205
```

Values from the calculation:
Calculated volume, Å³/cell: 80.89
Density of states at the Fermi level, states/eV per cell: 7.53
Space group: I4mm, No. 107

---

## B
Density functional theory data (PBE-GGA) for an optimized crystal structure of LaPuZn.

```
LaPuZn
1.0
3.3269 0.0000 0.0000
0.0000 3.3865 0.0000
-1.6634 0.0000 12.4326
Zn La Pu
2 2 2
Direct
0.5380 0.7500 0.0760
0.4620 0.2500 0.9240
0.8748 0.7500 0.7495
0.1252 0.2500 0.2505
0.2642 0.7500 0.5284
0.7358 0.2500 0.4716
```

Values from the calculation:
Calculated volume, Å³/cell: 140.07
Density of states at the Fermi level, states/eV per cell: 9.12
Space group: Cmcm, No. 63

---

Relative to the most stable structure, the computed energies are A 0; B 213, all in meV per atom.